No. 1
# PBE-GGA CsRb2S2, relaxed
# energy	-2.871	eV per atom
# calculated volume	419.9	Å³ per cell
# E above lowest polymorph	98.4	meV per atom
# spin magnetization	1.00	μB per formula unit
# raw formation energy	-3.3	eV/f.u.
data_CsRb2S2
_chemical_formula_sum 'Cs2 Rb4 S4'
_space_group_name_H-M_alt 'I 4/m m m'
_space_group_IT_number 139
_space_group_name_Hall '-I 4 2'
_cell_length_a 6.093
_cell_length_b 6.093
_cell_length_c 11.313
_cell_angle_alpha 90.00
_cell_angle_beta 90.00
_cell_angle_gamma 90.00
loop_
_atom_site_label
_atom_site_type_symbol
_atom_site_fract_x
_atom_site_fract_y
_atom_site_fract_z
Cs1 Cs 0.000 0.000 0.000
Rb1 Rb 0.000 0.000 0.341
S1 S 0.000 0.500 0.250



No. 2
# PBE-GGA Cs2RbS2, relaxed
# energy	-2.864	eV per atom
# calculated volume	382.8	Å³ per cell
# E above lowest polymorph	86.0	meV per atom
# spin magnetization	0.00	μB per formula unit
# raw formation energy	-3.4	eV/f.u.
data_Cs2RbS2
_chemical_formula_sum 'Cs4 Rb2 S4'
_space_group_name_H-M_alt 'P 4/m b m'
_space_group_IT_number 127
_space_group_name_Hall '-P 4 2ab'
_cell_length_a 9.926
_cell_length_b 9.926
_cell_length_c 3.885
_cell_angle_alpha 90.00
_cell_angle_beta 90.00
_cell_angle_gamma 90.00
loop_
_atom_site_label
_atom_site_type_symbol
_atom_site_fract_x
_atom_site_fract_y
_atom_site_fract_z
Cs1 Cs 0.127 0.373 0.000
Rb1 Rb 0.000 0.000 0.000
S1 S 0.174 0.674 0.500



No. 3
# PBE-GGA Cs4Rb2S, relaxed
# energy	-1.748	eV per atom
# calculated volume	1257.9	Å³ per cell
# E above lowest polymorph	11.1	meV per atom
# spin magnetization	0.00	μB per formula unit
# raw formation energy	-2.8	eV/f.u.
data_Cs4Rb2S
_chemical_formula_sum 'Cs8 Rb4 S2'
_space_group_name_H-M_alt 'I 4/m m m'
_space_group_IT_number 139
_space_group_name_Hall '-I 4 2'
_cell_length_a 6.879
_cell_length_b 6.879
_cell_length_c 26.583
_cell_angle_alpha 90.00
_cell_angle_beta 90.00
_cell_angle_gamma 90.00
loop_
_atom_site_label
_atom_site_type_symbol
_atom_site_fract_x
_atom_site_fract_y
_atom_site_fract_z
Cs1 Cs 0.000 0.000 0.124
Cs2 Cs 0.000 0.500 0.000
Rb1 Rb 0.000 0.000 0.308
S1 S 0.000 0.000 0.000



No. 4
# PBE-GGA Cs3Rb7S, relaxed
# energy	-1.462	eV per atom
# calculated volume	1974.1	Å³ per cell
# spin magnetization	0.00	μB per formula unit
# raw formation energy	-2.6	eV/f.u.
data_Cs3Rb7S
_chemical_formula_sum 'Cs6 Rb14 S2'
_space_group_name_H-M_alt 'C 1 m 1'
_space_group_IT_number 8
_space_group_name_Hall 'C -2y'
_cell_length_a 11.263
_cell_length_b 14.022
_cell_length_c 13.540
_cell_angle_alpha 90.00
_cell_angle_beta 112.61
_cell_angle_gamma 90.00
loop_
_atom_site_label
_atom_site_type_symbol
_atom_site_fract_x
_atom_site_fract_y
_atom_site_fract_z
Cs1 Cs 0.000 0.000 0.000
Cs2 Cs 0.059 0.319 0.842
Rb1 Rb 0.132 0.000 0.683
Rb2 Rb 0.193 0.333 0.522
Rb3 Rb 0.316 0.000 0.409
Rb4 Rb 0.319 0.500 0.291
Rb5 Rb 0.445 0.169 0.176
S1 S 0.066 0.500 0.348



No. 5
# PBE-GGA Cs5Rb4S, relaxed
# energy	-1.519	eV per atom
# calculated volume	1779.2	Å³ per cell
# spin magnetization	0.00	μB per formula unit
# raw formation energy	-2.9	eV/f.u.
data_Cs5Rb4S
_chemical_formula_sum 'Cs10 Rb8 S2'
_space_group_name_H-M_alt 'I 4/m m m'
_space_group_IT_number 139
_space_group_name_Hall '-I 4 2'
_cell_length_a 15.879
_cell_length_b 15.879
_cell_length_c 7.056
_cell_angle_alpha 90.00
_cell_angle_beta 90.00
_cell_angle_gamma 90.00
loop_
_atom_site_label
_atom_site_type_symbol
_atom_site_fract_x
_atom_site_fract_y
_atom_site_fract_z
Cs1 Cs 0.000 0.000 0.000
Cs2 Cs 0.150 0.150 0.500
Rb1 Rb 0.000 0.344 0.000
S1 S 0.000 0.000 0.500



No. 6
# PBE-GGA CsRb5S, relaxed
# energy	-1.772	eV per atom
# calculated volume	2303.5	Å³ per cell
# spin magnetization	0.00	μB per formula unit
# raw formation energy	-2.6	eV/f.u.
data_CsRb5S
_chemical_formula_sum 'Cs4 Rb20 S4'
_space_group_name_H-M_alt 'C 1 2/c 1'
_space_group_IT_number 15
_space_group_name_Hall '-C 2yc'
_cell_length_a 16.934
_cell_length_b 11.146
_cell_length_c 13.282
_cell_angle_alpha 90.00
_cell_angle_beta 113.24
_cell_angle_gamma 90.00
loop_
_atom_site_label
_atom_site_type_symbol
_atom_site_fract_x
_atom_site_fract_y
_atom_site_fract_z
Cs1 Cs 0.000 0.000 0.250
Rb1 Rb 0.000 0.500 0.250
Rb2 Rb 0.147 0.299 0.073
Rb3 Rb 0.147 0.299 0.574
S1 S 0.000 0.500 0.000



No. 7
# PBE-GGA CsRb2S2, relaxed
# energy	-2.970	eV per atom
# calculated volume	342.5	Å³ per cell
# E above lowest polymorph	0.0	meV per atom
# spin magnetization	0.00	μB per formula unit
# raw formation energy	-3.8	eV/f.u.
data_CsRb2S2
_chemical_formula_sum 'Cs2 Rb4 S4'
_space_group_name_H-M_alt 'P 4/m b m'
_space_group_IT_number 127
_space_group_name_Hall '-P 4 2ab'
_cell_length_a 9.571
_cell_length_b 9.571
_cell_length_c 3.739
_cell_angle_alpha 90.00
_cell_angle_beta 90.00
_cell_angle_gamma 90.00
loop_
_atom_site_label
_atom_site_type_symbol
_atom_site_fract_x
_atom_site_fract_y
_atom_site_fract_z
Cs1 Cs 0.000 0.000 0.000
Rb1 Rb 0.124 0.376 0.000
S1 S 0.175 0.675 0.500



No. 8
# PBE-GGA Cs3RbS, relaxed
# energy	-2.111	eV per atom
# calculated volume	1607.5	Å³ per cell
# E above lowest polymorph	0.0	meV per atom
# spin magnetization	0.00	μB per formula unit
# raw formation energy	-2.9	eV/f.u.
data_Cs3RbS
_chemical_formula_sum 'Cs12 Rb4 S4'
_space_group_name_H-M_alt 'C 1 c 1'
_space_group_IT_number 9
_space_group_name_Hall 'C -2yc'
_cell_length_a 10.131
_cell_length_b 20.568
_cell_length_c 8.963
_cell_angle_alpha 90.00
_cell_angle_beta 120.61
_cell_angle_gamma 90.00
loop_
_atom_site_label
_atom_site_type_symbol
_atom_site_fract_x
_atom_site_fract_y
_atom_site_fract_z
Cs1 Cs 0.000 0.051 0.000
Cs2 Cs 0.415 0.055 0.878
Cs3 Cs 0.447 0.177 0.439
Rb1 Rb 0.485 0.325 0.936
S1 S 0.212 0.064 0.439



No. 9
# PBE-GGA Cs2Rb2S, relaxed
# energy	-1.892	eV per atom
# calculated volume	674.9	Å³ per cell
# E above lowest polymorph	22.0	meV per atom
# spin magnetization	0.00	μB per formula unit
# raw formation energy	-1.7	eV/f.u.
data_Cs2Rb2S
_chemical_formula_sum 'Cs4 Rb4 S2'
_space_group_name_H-M_alt 'P 4/m b m'
_space_group_IT_number 127
_space_group_name_Hall '-P 4 2ab'
_cell_length_a 9.097
_cell_length_b 9.097
_cell_length_c 8.156
_cell_angle_alpha 90.00
_cell_angle_beta 90.00
_cell_angle_gamma 90.00
loop_
_atom_site_label
_atom_site_type_symbol
_atom_site_fract_x
_atom_site_fract_y
_atom_site_fract_z
Cs1 Cs 0.191 0.309 0.000
Rb1 Rb 0.191 0.691 0.500
S1 S 0.000 0.000 0.500



No. 10
# PBE-GGA CsRbS3, relaxed
# energy	-2.528	eV per atom
# calculated volume	227.6	Å³ per cell
# E above lowest polymorph	0.0	meV per atom
# spin magnetization	4.00	μB per formula unit
# raw formation energy	1.6	eV/f.u.
data_CsRbS3
_chemical_formula_sum 'Cs1 Rb1 S3'
_space_group_name_H-M_alt 'P m -3 m'
_space_group_IT_number 221
_space_group_name_Hall '-P 4 2 3'
_cell_length_a 6.106
_cell_length_b 6.106
_cell_length_c 6.106
_cell_angle_alpha 90.00
_cell_angle_beta 90.00
_cell_angle_gamma 90.00
loop_
_atom_site_label
_atom_site_type_symbol
_atom_site_fract_x
_atom_site_fract_y
_atom_site_fract_z
Cs1 Cs 0.000 0.000 0.000
Rb1 Rb 0.500 0.500 0.500
S1 S 0.000 0.500 0.500



No. 11
# PBE-GGA CsRbS5, relaxed
# energy	-3.791	eV per atom
# calculated volume	1022.1	Å³ per cell
# spin magnetization	0.00	μB per formula unit
# raw formation energy	-4.1	eV/f.u.
data_CsRbS5
_chemical_formula_sum 'Cs4 Rb4 S20'
_space_group_name_H-M_alt 'C 1 2/c 1'
_space_group_IT_number 15
_space_group_name_Hall '-C 2yc'
_cell_length_a 5.047
_cell_length_b 20.344
_cell_length_c 10.037
_cell_angle_alpha 90.00
_cell_angle_beta 97.34
_cell_angle_gamma 90.00
loop_
_atom_site_label
_atom_site_type_symbol
_atom_site_fract_x
_atom_site_fract_y
_atom_site_fract_z
Cs1 Cs 0.000 0.000 0.000
Rb1 Rb 0.000 0.211 0.250
S1 S 0.000 0.418 0.250
S2 S 0.030 0.368 0.931
S3 S 0.214 0.361 0.125



No. 12
# PBE-GGA CsRbS4, relaxed
# energy	-3.724	eV per atom
# calculated volume	208.9	Å³ per cell
# spin magnetization	0.00	μB per formula unit
# raw formation energy	-4.0	eV/f.u.
data_CsRbS4
_chemical_formula_sum 'Cs1 Rb1 S4'
_space_group_name_H-M_alt 'P 1'
_space_group_IT_number 1
_space_group_name_Hall 'P 1'
_cell_length_a 5.134
_cell_length_b 5.136
_cell_length_c 8.347
_cell_angle_alpha 93.45
_cell_angle_beta 107.77
_cell_angle_gamma 92.06
loop_
_atom_site_label
_atom_site_type_symbol
_atom_site_fract_x
_atom_site_fract_y
_atom_site_fract_z
Cs1 Cs 0.000 0.000 0.000
Rb1 Rb 0.395 0.473 0.542
S1 S 0.482 0.503 0.978
S2 S 0.667 0.927 0.316
S3 S 0.711 0.525 0.227
S4 S 0.922 0.956 0.560